# 1
Compound: BaLaTaNi2
Source: the Alexandria database
Functional: PBE-GGA
Structure: optimized geometry

```
BaLaTaNi2
1.0
4.6749 0.0000 0.0000
0.0000 4.6749 0.0000
0.0000 0.0000 5.6762
Ba La Ta Ni
1 1 1 2
direct
0.0000 0.0000 0.0000
0.0000 0.0000 0.5000
0.5000 0.5000 0.0000
0.0000 0.5000 0.5000
0.5000 0.0000 0.5000
```

Results
- Calculated total energy: -22.14 eV per cell
- ρ: 7.69 Mg/m³
- Spin magnetization: 1.89 μB per formula unit
- ΔE_f: 1.624 eV per atom
- N(E_F): 4.267 states/eV per cell


# 2
Compound: Ba2LaTaNi
Source: the Alexandria database
Functional: PBE-GGA
Structure: optimized geometry

```
Ba2LaTaNi
1.0
5.8634 0.0000 0.0000
0.0000 5.8634 0.0000
0.0000 0.0000 5.3935
Ba La Ta Ni
2 1 1 1
direct
0.0000 0.5000 0.0000
0.5000 0.0000 0.0000
0.0000 0.0000 0.5000
0.5000 0.5000 0.5000
0.0000 0.0000 0.0000
```

Results
- Calculated total energy: -21.94 eV per cell
- ρ: 5.85 Mg/m³
- Spin magnetization: 3.73 μB per formula unit
- ΔE_f: 0.894 eV per atom
- E above lowest polymorph: 0.148 eV per atom
- N(E_F): 5.411 states/eV per cell


# 3
Compound: BaLaVNi2
Source: the Alexandria database
Functional: PBE-GGA
Structure: optimized geometry

```
BaLaVNi2
1.0
5.1014 0.0000 0.0000
0.0000 5.1014 0.0000
0.0000 0.0000 5.2513
Ba La V Ni
1 1 1 2
direct
0.0000 0.0000 0.0000
0.5000 0.5000 0.5000
0.5000 0.5000 0.0000
0.0000 0.5000 0.5000
0.5000 0.0000 0.5000
```

Results
- Calculated total energy: -22.91 eV per cell
- ρ: 5.40 Mg/m³
- Spin magnetization: 3.26 μB per formula unit
- ΔE_f: 0.925 eV per atom
- N(E_F): 5.777 states/eV per cell


# 4
Compound: BaLaY2Ni
Source: the Alexandria database
Functional: PBE-GGA
Structure: optimized geometry

```
BaLaY2Ni
1.0
5.6442 0.0000 0.0000
0.0000 5.6442 0.0000
0.0000 0.0000 5.4343
Ba La Y Ni
1 1 2 1
direct
0.0000 0.0000 0.0000
0.5000 0.5000 0.0000
0.0000 0.5000 0.5000
0.5000 0.0000 0.5000
0.5000 0.5000 0.5000
```

Results
- Calculated total energy: -25.78 eV per cell
- ρ: 4.92 Mg/m³
- Spin magnetization: 0.00 μB per formula unit
- ΔE_f: -0.043 eV per atom
- N(E_F): 6.728 states/eV per cell


# 5
Compound: Ba3LaNp2O9
Source: the Alexandria database
Functional: PBE-GGA
Structure: optimized geometry

```
Ba3LaNp2O9
1.0
6.3261 0.0000 0.0000
-3.1630 5.4785 0.0000
0.0000 0.0000 7.7606
Ba La Np O
3 1 2 9
direct
0.0000 0.0000 0.0000
0.3333 0.6667 0.6648
0.6667 0.3333 0.3352
0.0000 0.0000 0.5000
0.3333 0.6667 0.1609
0.6667 0.3333 0.8391
0.0000 0.5000 0.0000
0.1742 0.3484 0.3212
0.1742 0.8258 0.3212
0.3484 0.1742 0.6788
0.5000 0.0000 0.0000
0.5000 0.5000 0.0000
0.6516 0.8258 0.3212
0.8258 0.1742 0.6788
0.8258 0.6516 0.6788
```

Results
- Calculated total energy: -126.22 eV per cell
- ρ: 7.22 Mg/m³
- Spin magnetization: 5.00 μB per formula unit
- Formation energy from raw total energies: -289.6 kJ/mol of atoms
- N(E_F): 11.770 states/eV per cell


# 6
Compound: BaLa2NpO8
Source: the Alexandria database
Functional: PBE-GGA
Structure: optimized geometry

```
BaLa2NpO8
1.0
4.2635 0.0000 0.0000
0.0000 8.0822 0.0000
-0.5857 0.0000 5.5349
Ba La Np O
1 2 1 8
direct
0.0000 0.0000 0.0000
0.5000 0.2669 0.5000
0.5000 0.7331 0.5000
0.0000 0.5000 0.0000
0.0466 0.3053 0.7674
0.0466 0.6947 0.7674
0.4269 0.5000 0.2171
0.4758 0.0000 0.6998
0.5242 0.0000 0.3002
0.5731 0.5000 0.7829
0.9534 0.3053 0.2326
0.9534 0.6947 0.2326
```

Results
- Calculated total energy: -98.76 eV per cell
- ρ: 6.79 Mg/m³
- Spin magnetization: 1.05 μB per formula unit
- Formation energy from raw total energies: -276.4 kJ/mol of atoms
- N(E_F): 0.008 states/eV per cell